[1]
VASP calculation (PBE) on a geometry-optimized CsCaCr2Cl8 structure.

Cell and atoms, written as CIF:
```
data_CsCaCr2Cl8
_cell_length_a 6.7794
_cell_length_b 6.7794
_cell_length_c 9.6808
_cell_angle_alpha 90.00
_cell_angle_beta 90.00
_cell_angle_gamma 120.00
_symmetry_space_group_name_H-M 'P -3'
_symmetry_Int_Tables_number 147
_symmetry_space_group_name_Hall '-P 3'
loop_
_atom_site_label
_atom_site_type_symbol
_atom_site_fract_x
_atom_site_fract_y
_atom_site_fract_z
_atom_site_occupancy
Cs1 Cs 0.0000 0.0000 0.0000 1
Ca1 Ca 0.0000 0.0000 0.5000 1
Cr1 Cr 0.3333 0.6667 0.7234 1
Cl1 Cl 0.0056 0.3263 0.6724 1
Cl2 Cl 0.3333 0.6667 0.9514 1
```

Calculated values
energy relative to the elements, uncorrected	-1.4171	eV/atom

[2]
VASP calculation (PBE) on a geometry-optimized AlGe structure.

Cell and atoms, written as CIF:
```
data_AlGe
_cell_length_a 7.1658
_cell_length_b 7.1658
_cell_length_c 7.1658
_cell_angle_alpha 90.00
_cell_angle_beta 90.00
_cell_angle_gamma 90.00
_symmetry_space_group_name_H-M 'P m -3 n'
_symmetry_Int_Tables_number 223
_symmetry_space_group_name_Hall '-P 4n 2 3'
loop_
_atom_site_label
_atom_site_type_symbol
_atom_site_fract_x
_atom_site_fract_y
_atom_site_fract_z
_atom_site_occupancy
Al1 Al 0.0000 0.2500 0.5000 1
Ge1 Ge 0.0000 0.5000 0.2500 1
```

Calculated values
energy of formation	0.390	eV/atom